1.
Entry from Alexandria: a relaxed structure of Ca2NpPaSb4 (GGA-PBE).

Summary:
formation energy without anion corrections: -0.657 eV per atom
E_tot: -6.023 eV/atom
ρ: 6.8 g/cm³
DOS at the Fermi energy: 1.019 states/eV per atom

a b c (Å): 4.4718 7.7265 7.7451
angles (deg): 109.53 90.00 90.00
Closest atoms and distances in Å follow each position.
Positions (direct):
Ca 0.5000 0.0000 0.5000  6 Sb 3.24-3.25
Ca 0.0000 0.5000 0.5000  6 Sb 3.19-3.21
Np 0.0000 0.0000 0.0000  6 Sb 3.12-3.13
Pa 0.5000 0.5000 0.0000  6 Sb 3.07-3.08
Sb 0.5000 0.2501 0.2357  1 Pa 3.07, 2 Np 3.12, 3 Ca 3.21-3.25
Sb 0.5000 0.7499 0.7643  1 Pa 3.07, 2 Np 3.12, 3 Ca 3.21-3.25
Sb 0.0000 0.2598 0.7644  2 Pa 3.08, 1 Np 3.13, 3 Ca 3.19-3.24
Sb 0.0000 0.7402 0.2356  2 Pa 3.08, 1 Np 3.13, 3 Ca 3.19-3.24

2.
Entry from Alexandria: a relaxed structure of CaNpPb2 (GGA-PBE).

Summary:
E_tot: -5.330 eV/atom
ρ: 9.1 g/cm³
formation enthalpy at 0 K: 0.259 eV/atom
DOS at the Fermi energy: 2.047 states/eV per atom

a b c (Å): 3.4818 3.4818 12.2405
angles (deg): 81.82 81.82 60.00
Closest atoms and distances in Å follow each position.
Positions (direct):
Np 0.5000 0.5000 0.5000  6 Pb 3.46, 6 Np 3.48
Pb 0.0889 0.0889 0.7332  1 Ca 3.22, 3 Np 3.46, 6 Pb 3.48
Pb 0.9111 0.9111 0.2668  1 Ca 3.22, 3 Np 3.46, 6 Pb 3.48
Ca 0.0000 0.0000 0.0000  2 Pb 3.22, 6 Ca 3.48

3.
Entry from Alexandria: a relaxed structure of CaNpPb2 (GGA-PBE).

Summary:
E_tot: -5.715 eV/atom
ρ: 10.1 g/cm³
formation enthalpy at 0 K: -0.125 eV/atom
DOS at the Fermi energy: 1.719 states/eV per atom

a b c (Å): 3.4831 3.4831 9.3668
angles (deg): 90.00 90.00 90.00
Closest atoms and distances in Å follow each position.
Positions (direct):
Np 0.5000 0.5000 0.0000  8 Pb 3.39, 4 Np 3.48
Pb 0.0000 0.0000 0.7516  4 Np 3.39, 4 Ca 3.41, 4 Pb 3.48
Pb 0.0000 0.0000 0.2484  4 Np 3.39, 4 Ca 3.41, 4 Pb 3.48
Ca 0.5000 0.5000 0.5000  8 Pb 3.41, 4 Ca 3.48

Please write out number 1 again, unchanged.
Entry from Alexandria: a relaxed structure of Ca2NpPaSb4 (GGA-PBE).

Summary:
formation energy without anion corrections: -0.657 eV per atom
E_tot: -6.023 eV/atom
ρ: 6.8 g/cm³
DOS at the Fermi energy: 1.019 states/eV per atom

a b c (Å): 4.4718 7.7265 7.7451
angles (deg): 109.53 90.00 90.00
Closest atoms and distances in Å follow each position.
Positions (direct):
Ca 0.5000 0.0000 0.5000  6 Sb 3.24-3.25
Ca 0.0000 0.5000 0.5000  6 Sb 3.19-3.21
Np 0.0000 0.0000 0.0000  6 Sb 3.12-3.13
Pa 0.5000 0.5000 0.0000  6 Sb 3.07-3.08
Sb 0.5000 0.2501 0.2357  1 Pa 3.07, 2 Np 3.12, 3 Ca 3.21-3.25
Sb 0.5000 0.7499 0.7643  1 Pa 3.07, 2 Np 3.12, 3 Ca 3.21-3.25
Sb 0.0000 0.2598 0.7644  2 Pa 3.08, 1 Np 3.13, 3 Ca 3.19-3.24
Sb 0.0000 0.7402 0.2356  2 Pa 3.08, 1 Np 3.13, 3 Ca 3.19-3.24

Q: Among the records above, which one has the lowest E_tot?
A: Ca2NpPaSb4

What did the first record say?
Entry from Alexandria: a relaxed structure of Ca2NpPaSb4 (GGA-PBE).

Summary:
formation energy without anion corrections: -0.657 eV per atom
E_tot: -6.023 eV/atom
ρ: 6.8 g/cm³
DOS at the Fermi energy: 1.019 states/eV per atom

a b c (Å): 4.4718 7.7265 7.7451
angles (deg): 109.53 90.00 90.00
Closest atoms and distances in Å follow each position.
Positions (direct):
Ca 0.5000 0.0000 0.5000  6 Sb 3.24-3.25
Ca 0.0000 0.5000 0.5000  6 Sb 3.19-3.21
Np 0.0000 0.0000 0.0000  6 Sb 3.12-3.13
Pa 0.5000 0.5000 0.0000  6 Sb 3.07-3.08
Sb 0.5000 0.2501 0.2357  1 Pa 3.07, 2 Np 3.12, 3 Ca 3.21-3.25
Sb 0.5000 0.7499 0.7643  1 Pa 3.07, 2 Np 3.12, 3 Ca 3.21-3.25
Sb 0.0000 0.2598 0.7644  2 Pa 3.08, 1 Np 3.13, 3 Ca 3.19-3.24
Sb 0.0000 0.7402 0.2356  2 Pa 3.08, 1 Np 3.13, 3 Ca 3.19-3.24

Q: What is the ρ in the third record?
A: 10.1 g/cm³